Entry 1:
# TlNiSbTe2

A geometry-optimized TlNiSbTe2 structure (GGA-PBE, Alexandria).

Cell lengths 5.449, 5.449, 4.801 Å; angles 90.00, 90.00, 90.00 degrees
Fractional positions:
Sb: 0.000 0.000 0.500
Tl: 0.500 0.500 0.500
Te: 0.000 0.500 0.000
Te: 0.500 0.000 0.000
Ni: 0.000 0.000 0.000

Summary:
Relative energy among the computed polymorphs (meV/atom): 0

---

Entry 2:
# TlNiSbTe2

A geometry-optimized TlNiSbTe2 structure (GGA-PBE, Alexandria).

Cell lengths 5.806, 5.806, 5.580 Å; angles 90.00, 90.00, 90.00 degrees
Each line ends with the local moment (μB).
Fractional positions:
Sb: 0.000 0.000 0.500  0.05
Tl: 0.000 0.000 0.000  0.00
Te: 0.000 0.500 0.000  0.05
Te: 0.500 0.000 0.000  0.05
Ni: 0.500 0.500 0.500  0.94

Summary:
Relative energy among the computed polymorphs (meV/atom): 1197

---

Entry 3:
# TlNiSbTe3

A geometry-optimized TlNiSbTe3 structure (GGA-PBE, Alexandria).

Cell lengths 4.329, 9.824, 9.275 Å; angles 103.39, 90.00, 90.00 degrees
Fractional positions:
Tl: 0.250 0.170 0.215
Tl: 0.750 0.830 0.785
Ni: 0.250 0.072 0.557
Ni: 0.750 0.928 0.443
Sb: 0.250 0.655 0.140
Sb: 0.750 0.345 0.860
Te: 0.750 0.880 0.159
Te: 0.250 0.120 0.841
Te: 0.250 0.808 0.481
Te: 0.750 0.192 0.519
Te: 0.750 0.446 0.188
Te: 0.250 0.554 0.812

Summary:
Energy (eV per cell): -45.043

---

Entry 4:
# VNiSb2Te

A geometry-optimized VNiSb2Te structure (GGA-PBE, Alexandria).

Cell lengths 5.069, 5.069, 5.054 Å; angles 90.00, 90.00, 90.00 degrees
Fractional positions:
Sb: 0.000 0.500 0.000
Sb: 0.500 0.000 0.000
V: 0.000 0.000 0.000
Te: 0.000 0.000 0.500
Ni: 0.500 0.500 0.500

Summary:
Relative energy among the computed polymorphs (meV/atom): 148

---

Entry 5:
# VNiSbTe2

A geometry-optimized VNiSbTe2 structure (GGA-PBE, Alexandria).

Cell lengths 5.095, 5.095, 4.761 Å; angles 90.00, 90.00, 90.00 degrees
Each line ends with the local moment (μB).
Fractional positions:
Sb: 0.000 0.000 0.500  -0.02
V: 0.500 0.500 0.500  0.12
Te: 0.000 0.500 0.000  0.03
Te: 0.500 0.000 0.000  0.03
Ni: 0.000 0.000 0.000  0.01

Summary:
Relative energy among the computed polymorphs (meV/atom): 61

---

Entry 6:
# VNiSb2Te

A geometry-optimized VNiSb2Te structure (GGA-PBE, Alexandria).

Cell lengths 4.873, 4.873, 5.266 Å; angles 90.00, 90.00, 90.00 degrees
Each line ends with the local moment (μB).
Fractional positions:
Sb: 0.000 0.500 0.000  -0.05
Sb: 0.500 0.000 0.000  -0.05
V: 0.500 0.500 0.500  2.91
Te: 0.000 0.000 0.500  -0.06
Ni: 0.000 0.000 0.000  -0.08

Summary:
Relative energy among the computed polymorphs (meV/atom): 0

---

Entry 7:
# VNiSbTe2

A geometry-optimized VNiSbTe2 structure (GGA-PBE, Alexandria).

Cell lengths 5.105, 5.105, 5.103 Å; angles 90.00, 90.00, 90.00 degrees
Each line ends with the local moment (μB).
Fractional positions:
Sb: 0.000 0.000 0.500  0.03
V: 0.000 0.000 0.000  -0.51
Te: 0.000 0.500 0.000  0.05
Te: 0.500 0.000 0.000  0.05
Ni: 0.500 0.500 0.500  0.64

Summary:
Relative energy among the computed polymorphs (meV/atom): 0

---

Entry 8:
# NiSb2TeW

A geometry-optimized NiSb2TeW structure (GGA-PBE, Alexandria).

Cell lengths 5.242, 5.242, 5.206 Å; angles 90.00, 90.00, 90.00 degrees
Each line ends with the local moment (μB).
Fractional positions:
Sb: 0.000 0.500 0.000  -0.01
Sb: 0.500 0.000 0.000  -0.01
Te: 0.000 0.000 0.500  0.03
W: 0.000 0.000 0.000  -0.08
Ni: 0.500 0.500 0.500  0.58

Summary:
Relative energy among the computed polymorphs (meV/atom): 10

---

Entry 9:
# NiSb2TeW

A geometry-optimized NiSb2TeW structure (GGA-PBE, Alexandria).

Cell lengths 4.860, 4.860, 5.061 Å; angles 90.00, 90.00, 90.00 degrees
Each line ends with the local moment (μB).
Fractional positions:
Sb: 0.000 0.500 0.000  -0.07
Sb: 0.500 0.000 0.000  -0.07
Te: 0.000 0.000 0.500  -0.07
W: 0.500 0.500 0.500  2.44
Ni: 0.000 0.000 0.000  -0.10

Summary:
Relative energy among the computed polymorphs (meV/atom): 0

---

Entry 10:
# YNiSb2Te

A geometry-optimized YNiSb2Te structure (GGA-PBE, Alexandria).

Cell lengths 5.771, 5.771, 5.731 Å; angles 90.00, 90.00, 90.00 degrees
Each line ends with the local moment (μB).
Fractional positions:
Y: 0.000 0.000 0.000  0.00
Sb: 0.000 0.500 0.000  -0.02
Sb: 0.500 0.000 0.000  -0.02
Te: 0.000 0.000 0.500  0.01
Ni: 0.500 0.500 0.500  0.88

Summary:
Relative energy among the computed polymorphs (meV/atom): 956

---

Entry 11:
# YNiSb2Te

A geometry-optimized YNiSb2Te structure (GGA-PBE, Alexandria).

Cell lengths 4.950, 4.950, 5.330 Å; angles 90.00, 90.00, 90.00 degrees
Fractional positions:
Y: 0.500 0.500 0.500
Sb: 0.000 0.500 0.000
Sb: 0.500 0.000 0.000
Te: 0.000 0.000 0.500
Ni: 0.000 0.000 0.000

Summary:
Relative energy among the computed polymorphs (meV/atom): 0

---

Entry 12:
# ZnNiSb2Te

A geometry-optimized ZnNiSb2Te structure (GGA-PBE, Alexandria).

Cell lengths 4.941, 4.941, 5.283 Å; angles 90.00, 90.00, 90.00 degrees
Fractional positions:
Sb: 0.000 0.500 0.000
Sb: 0.500 0.000 0.000
Zn: 0.500 0.500 0.500
Te: 0.000 0.000 0.500
Ni: 0.000 0.000 0.000

Summary:
Relative energy among the computed polymorphs (meV/atom): 0

---

Entry 13:
# ZnNiSbTe2

A geometry-optimized ZnNiSbTe2 structure (GGA-PBE, Alexandria).

Cell lengths 5.299, 5.299, 5.066 Å; angles 90.00, 90.00, 90.00 degrees
Each line ends with the local moment (μB).
Fractional positions:
Sb: 0.000 0.000 0.500  -0.01
Zn: 0.000 0.000 0.000  0.00
Te: 0.000 0.500 0.000  0.04
Te: 0.500 0.000 0.000  0.04
Ni: 0.500 0.500 0.500  0.76

Summary:
Relative energy among the computed polymorphs (meV/atom): 565

---

Entry 14:
# ZnNiSbTe2

A geometry-optimized ZnNiSbTe2 structure (GGA-PBE, Alexandria).

Cell lengths 5.247, 5.247, 4.781 Å; angles 90.00, 90.00, 90.00 degrees
Fractional positions:
Sb: 0.000 0.000 0.500
Zn: 0.500 0.500 0.500
Te: 0.000 0.500 0.000
Te: 0.500 0.000 0.000
Ni: 0.000 0.000 0.000

Summary:
Relative energy among the computed polymorphs (meV/atom): 0